(1)
Pt3Cl: single point on PBEsol structure, meta-GGA SCAN.

```
Pt3Cl
1.0
2.722 0.000 0.000
0.000 4.781 0.066
0.000 -0.089 4.781
Pt Cl
3 1
Direct
0.500 0.500 0.000
0.000 0.500 0.500
0.500 0.000 0.500
0.000 0.000 0.000
```

Values from the calculation:
SG: Cmmm, No. 65
Energy relative to the lowest polymorph listed for this composition in eV/f.u.: 0.00
Energy relative to the elements, uncorrected in eV per atom: 0.60



(2)
PtCl: single point on PBEsol structure, meta-GGA SCAN.

```
PtCl
1.0
3.123 0.000 0.000
1.562 2.705 0.000
1.562 0.902 3.810
Cl Pt
1 1
Direct
0.000 0.000 0.000
0.500 0.500 0.500
```

Values from the calculation:
SG: R-3m, No. 166
Energy relative to the elements, uncorrected in eV per atom: 0.70



(3)
PtCl: single point on PBEsol structure, meta-GGA SCAN.

```
PtCl
1.0
-2.211 2.811 -0.026
-3.294 -0.303 1.359
0.640 2.843 6.886
Pt Cl
2 2
Direct
0.299 0.299 0.103
0.701 0.701 0.897
0.905 0.905 0.285
0.095 0.095 0.715
```

Values from the calculation:
SG: R-3m, No. 166
Energy relative to the elements, uncorrected in eV per atom: -0.45



(4)
Pt4Cl: single point on PBEsol structure, meta-GGA SCAN.

```
Pt4Cl
1.0
2.745 0.000 0.000
1.372 5.333 0.000
1.372 0.000 5.333
Pt Cl
4 1
Direct
0.606 0.200 0.587
0.807 0.587 0.800
0.193 0.413 0.200
0.394 0.800 0.413
0.000 0.000 0.000
```

Values from the calculation:
SG: I4/m, No. 87
Energy relative to the elements, uncorrected in eV per atom: 0.39



(5)
Pt2Cl: single point on PBEsol structure, meta-GGA SCAN.

```
Pt2Cl
1.0
-0.230 3.138 2.793
-3.118 -0.590 -2.762
-2.841 -3.783 4.015
Pt Cl
4 2
Direct
0.000 0.000 0.500
0.667 0.333 0.750
0.000 0.000 0.000
0.333 0.667 0.250
0.333 0.667 0.750
0.667 0.333 0.250
```

Values from the calculation:
SG: P6_3/mmc, No. 194
Energy relative to the lowest polymorph listed for this composition in eV/f.u.: 0.80
Energy relative to the elements, uncorrected in eV per atom: 0.93



(6)
Pt2Cl: single point on PBEsol structure, meta-GGA SCAN.

```
Pt2Cl
1.0
-1.958 -1.099 -1.665
0.076 -2.373 1.477
-7.949 6.146 7.639
Pt Cl
4 2
Direct
0.831 0.331 0.663
0.581 0.581 0.163
0.669 0.169 0.337
0.419 0.419 0.837
0.250 0.750 0.500
0.000 0.000 0.000
```

Values from the calculation:
SG: I4_1/amd, No. 141
Energy relative to the lowest polymorph listed for this composition in eV/f.u.: 0.00
Energy relative to the elements, uncorrected in eV per atom: 0.66



(7)
Pt3Cl: single point on PBEsol structure, meta-GGA SCAN.

```
Pt3Cl
1.0
2.807 0.000 0.000
-0.936 5.051 0.000
-0.936 -2.525 4.374
Pt Cl
3 1
Direct
0.500 0.500 0.000
0.000 0.500 0.500
0.500 0.000 0.500
0.000 0.000 0.000
```

Values from the calculation:
SG: R-3m, No. 166
Energy relative to the lowest polymorph listed for this composition in eV/f.u.: 0.22
Energy relative to the elements, uncorrected in eV per atom: 0.66



(8)
PtCl: single point on PBEsol structure, meta-GGA SCAN.

```
PtCl
1.0
-1.122 0.328 2.534
2.836 -4.073 3.320
4.272 2.834 3.061
Cl Pt
2 2
Direct
0.929 0.821 0.321
0.071 0.179 0.679
0.634 0.616 0.116
0.366 0.384 0.884
```

Values from the calculation:
SG: Imma, No. 74
Energy relative to the elements, uncorrected in eV per atom: 0.28



(9)
RbPtS2Cl: single point on PBEsol structure, meta-GGA SCAN.

```
RbPtS2Cl
1.0
-3.812 -2.289 -1.489
1.531 -3.908 2.089
-2.502 1.341 4.344
Pt S Rb Cl
1 2 1 1
Direct
0.000 0.000 0.000
0.000 0.500 0.000
0.500 0.000 0.000
0.500 0.500 0.500
0.000 0.000 0.500
```

Values from the calculation:
SG: P4/mmm, No. 123
Energy relative to the elements, uncorrected in eV per atom: -0.48



(10)
RePtCl: single point on PBEsol structure, meta-GGA SCAN.

```
RePtCl
1.0
-3.800 1.939 0.218
-3.270 -1.925 1.961
-1.424 1.492 3.740
Re Cl Pt
1 1 1
Direct
0.000 0.000 0.000
0.500 0.500 0.500
0.250 0.250 0.250
```

Values from the calculation:
SG: F-43m, No. 216
Energy relative to the lowest polymorph listed for this composition in eV/f.u.: 1.75
Energy relative to the elements, uncorrected in eV per atom: 1.53



(11)
RePt2Cl: single point on PBEsol structure, meta-GGA SCAN.

```
RePt2Cl
1.0
-0.026 -2.706 -0.668
2.434 0.321 -1.396
4.056 -1.681 6.687
Pt Cl Re
2 1 1
Direct
0.999 0.000 0.772
0.001 0.000 0.228
0.000 0.500 0.500
0.500 0.500 0.000
```

Values from the calculation:
SG: Pmmm, No. 47
Energy relative to the lowest polymorph listed for this composition in eV/f.u.: 0.00
Energy relative to the elements, uncorrected in eV per atom: 0.07



(12)
RePt2Cl: single point on PBEsol structure, meta-GGA SCAN.

```
RePt2Cl
1.0
2.823 0.000 0.000
0.000 2.823 0.000
0.000 0.000 7.773
Cl Pt Re
1 2 1
Direct
0.500 0.500 0.500
0.000 0.000 0.231
0.000 0.000 0.769
0.500 0.500 0.000
```

Values from the calculation:
SG: P4/mmm, No. 123
Energy relative to the lowest polymorph listed for this composition in eV/f.u.: 0.49
Energy relative to the elements, uncorrected in eV per atom: 0.19



(13)
RePt3Cl: single point on PBEsol structure, meta-GGA SCAN.

```
RePt3Cl
1.0
4.416 0.000 0.000
0.000 4.416 0.000
0.000 0.000 4.416
Pt Cl Re
3 1 1
Direct
0.000 0.500 0.000
0.000 0.000 0.500
0.500 0.000 0.000
0.000 0.000 0.000
0.500 0.500 0.500
```

Values from the calculation:
SG: Pm-3m, No. 221
Energy relative to the elements, uncorrected in eV per atom: 1.71



(14)
RePt2Cl: single point on PBEsol structure, meta-GGA SCAN.

```
RePt2Cl
1.0
-0.025 1.173 2.449
-3.328 -2.482 1.156
5.211 -3.207 0.083
Re Pt Cl
1 2 1
Direct
0.500 0.000 0.000
0.206 0.206 0.412
0.794 0.794 0.588
0.000 0.500 0.000
```

Values from the calculation:
SG: Immm, No. 71
Energy relative to the lowest polymorph listed for this composition in eV/f.u.: 2.24
Energy relative to the elements, uncorrected in eV per atom: 0.63



(15)
RePtCl: single point on PBEsol structure, meta-GGA SCAN.

```
RePtCl
1.0
-0.065 2.694 0.593
0.888 -0.888 4.131
3.214 0.694 -2.798
Cl Pt Re
1 1 1
Direct
0.163 0.000 0.000
0.668 0.333 0.667
0.169 0.667 0.333
```

Values from the calculation:
SG: P3m1, No. 156
Energy relative to the lowest polymorph listed for this composition in eV/f.u.: 0.00
Energy relative to the elements, uncorrected in eV per atom: 0.95



(16)
RePt2Cl: single point on PBEsol structure, meta-GGA SCAN.

```
RePt2Cl
1.0
-2.086 -0.051 -1.950
-2.256 -1.712 0.367
-5.541 5.708 3.687
Pt Re Cl
2 1 1
Direct
0.752 0.752 0.744
0.248 0.248 0.256
0.500 0.500 0.500
0.000 0.000 0.000
```

Values from the calculation:
SG: R-3m, No. 166
Energy relative to the lowest polymorph listed for this composition in eV/f.u.: 0.71
Energy relative to the elements, uncorrected in eV per atom: 0.24



(17)
RePt2Cl: single point on PBEsol structure, meta-GGA SCAN.

```
RePt2Cl
1.0
-2.041 -1.677 -0.892
3.882 -1.304 -2.075
0.548 -3.515 5.355
Pt Cl Re
2 1 1
Direct
0.049 0.097 0.073
0.797 0.593 0.285
0.116 0.231 0.722
0.539 0.078 0.419
```

Values from the calculation:
SG: Cm, No. 8
Energy relative to the lowest polymorph listed for this composition in eV/f.u.: 0.48
Energy relative to the elements, uncorrected in eV per atom: 0.19



(18)
PtRhCl: single point on PBEsol structure, meta-GGA SCAN.

```
PtRhCl
1.0
-2.736 -0.142 0.413
-1.095 -2.346 1.233
-0.620 2.678 6.103
Rh Cl Pt
1 1 1
Direct
0.341 0.000 0.318
0.988 0.000 0.024
0.671 0.000 0.657
```

Values from the calculation:
SG: Fmm2, No. 42
Energy relative to the lowest polymorph listed for this composition in eV/f.u.: 0.00
Energy relative to the elements, uncorrected in eV per atom: 0.34



(19)
PtRhCl: single point on PBEsol structure, meta-GGA SCAN.

```
PtRhCl
1.0
4.097 0.000 0.000
2.049 3.548 0.000
2.049 1.183 3.345
Cl Rh Pt
1 1 1
Direct
0.250 0.250 0.250
0.500 0.500 0.500
0.000 0.000 0.000
```

Values from the calculation:
SG: F-43m, No. 216
Energy relative to the lowest polymorph listed for this composition in eV/f.u.: 2.39
Energy relative to the elements, uncorrected in eV per atom: 1.14



(20)
RuPtCl2: single point on PBEsol structure, meta-GGA SCAN.

```
RuPtCl2
1.0
2.828 0.000 0.000
-1.414 2.615 0.000
0.000 0.000 8.427
Cl Ru Pt
2 1 1
Direct
0.000 0.000 0.224
0.000 0.000 0.776
0.500 0.000 0.000
0.500 0.000 0.500
```

Values from the calculation:
SG: Cmmm, No. 65
Energy relative to the lowest polymorph listed for this composition in eV/f.u.: 0.00
Energy relative to the elements, uncorrected in eV per atom: 0.52